PBE-GGA TbPm6Sm4, optimized geometry; calculated density = 6.879 g/cm³; calculated formation energy = 0.3729 eV/atom; D(E_F) = 1.178 states/eV/atom; offset from the most stable computed form = 86.4 meV per atom
1.0
-4.235 3.299 5.398
2.205 -5.319 4.980
6.303 4.876 -3.403
Tb Pm Sm
1 6 4
Cartesian
-1.015 -1.010 5.189 Tb
-0.497 2.399 5.954 Pm
2.433 -1.520 5.764 Pm
2.844 1.957 3.477 Pm
1.103 -2.659 2.490 Pm
3.767 2.876 -1.243 Pm
-2.118 1.649 2.699 Pm
6.567 0.408 1.364 Sm
-0.839 -1.058 8.896 Sm
2.321 6.089 1.639 Sm
0.499 0.273 2.054 Sm